No. 1
The following is a DFT calculation (PBE) of a relaxed Tm4PdRh crystal.

ΔE to the lowest computed polymorph   148 meV per atom
Theoretical density   8.55 Mg/m³
E_tot   -5.598 eV/atom

a b c (Å): 7.671 7.671 7.671
angles (deg): 106.11 106.11 116.44
Fractional positions:
Rh1 0.501 0.001 0.500
Rh2 0.751 0.751 0.000
Tm1 0.706 0.506 0.200
Tm2 0.789 0.994 0.796
Tm3 0.256 0.557 0.300
Tm4 0.744 0.448 0.704
Tm5 0.744 0.039 0.296
Tm6 0.256 0.956 0.700
Tm7 0.307 0.506 0.800
Tm8 0.198 0.994 0.204
Pd1 0.998 0.498 0.500
Pd2 0.248 0.248 0.000

=====

No. 2
The following is a DFT calculation (PBE) of a relaxed Tm4PdRh crystal.

ΔE to the lowest computed polymorph   0 meV per atom
Theoretical density   10.44 Mg/m³
E_tot   -5.746 eV/atom

a b c (Å): 9.270 9.270 9.270
angles (deg): 60.00 60.00 60.00
Fractional positions:
Tm1 0.814 0.186 0.814
Tm2 0.833 0.389 0.389
Tm3 0.186 0.186 0.814
Tm4 0.561 0.939 0.561
Tm5 0.561 0.561 0.939
Tm6 0.186 0.814 0.186
Tm7 0.389 0.389 0.833
Tm8 0.186 0.814 0.814
Tm9 0.814 0.186 0.186
Tm10 0.389 0.389 0.389
Tm11 0.939 0.561 0.561
Tm12 0.939 0.939 0.561
Tm13 0.389 0.833 0.389
Tm14 0.814 0.814 0.186
Tm15 0.939 0.561 0.939
Tm16 0.561 0.939 0.939
Rh1 0.604 0.189 0.604
Rh2 0.604 0.604 0.189
Rh3 0.189 0.604 0.604
Rh4 0.604 0.604 0.604
Pd1 0.162 0.514 0.162
Pd2 0.514 0.162 0.162
Pd3 0.162 0.162 0.162
Pd4 0.162 0.162 0.514

=====

No. 3
The following is a DFT calculation (PBE) of a relaxed Tm6Pd2Rh crystal.

ΔE to the lowest computed polymorph   10 meV per atom
Theoretical density   9.63 Mg/m³
E_tot   -5.571 eV/atom

a b c (Å): 6.428 7.285 9.789
angles (deg): 90.00 90.18 90.00
Fractional positions:
Tm1 0.349 0.539 0.745
Tm2 0.844 0.684 0.932
Tm3 0.849 0.961 0.245
Tm4 0.156 0.316 0.068
Tm5 0.656 0.184 0.568
Tm6 0.344 0.816 0.432
Tm7 0.151 0.039 0.755
Tm8 0.651 0.461 0.255
Tm9 0.328 0.826 0.066
Tm10 0.828 0.674 0.566
Tm11 0.672 0.174 0.934
Tm12 0.172 0.326 0.434
Rh1 0.500 0.500 0.000
Rh2 0.000 0.000 0.500
Pd1 0.941 0.384 0.755
Pd2 0.059 0.616 0.245
Pd3 0.441 0.116 0.255
Pd4 0.559 0.884 0.745

=====

No. 4
The following is a DFT calculation (PBE) of a relaxed Tm3Pd2Rh2 crystal.

Theoretical density   11.53 Mg/m³
E_tot   -6.344 eV/atom

a b c (Å): 4.654 4.651 7.563
angles (deg): 107.49 90.59 119.62
Fractional positions:
Pd1 0.855 0.711 0.566
Pd2 0.145 0.289 0.434
Tm1 0.429 0.852 0.280
Tm2 0.571 0.148 0.720
Tm3 0.000 0.000 0.000
Rh1 0.288 0.579 0.867
Rh2 0.712 0.421 0.133

=====

No. 5
The following is a DFT calculation (PBE) of a relaxed Tm8PdRh2 crystal.

ΔE to the lowest computed polymorph   53 meV per atom
Theoretical density   9.74 Mg/m³
E_tot   -5.528 eV/atom

a b c (Å): 5.756 7.497 7.497
angles (deg): 112.95 99.76 99.76
Fractional positions:
Tm1 0.807 0.635 0.635
Tm2 0.582 0.082 0.340
Tm3 0.989 0.225 0.780
Tm4 0.389 0.926 0.667
Tm5 0.989 0.780 0.225
Tm6 0.170 0.368 0.368
Tm7 0.582 0.340 0.082
Tm8 0.389 0.667 0.926
Rh1 0.489 0.313 0.695
Rh2 0.489 0.695 0.313
Pd1 0.123 0.003 0.003

=====

No. 6
The following is a DFT calculation (PBE) of a relaxed Tm6Pd2Rh crystal.

ΔE to the lowest computed polymorph   0 meV per atom
Theoretical density   10.30 Mg/m³
E_tot   -5.581 eV/atom

a b c (Å): 8.228 8.228 8.228
angles (deg): 109.05 111.07 108.31
Fractional positions:
Rh1 0.000 0.000 0.000
Rh2 0.000 0.500 0.500
Tm1 0.293 0.963 0.670
Tm2 0.915 0.741 0.174
Tm3 0.813 0.260 0.073
Tm4 0.293 0.623 0.330
Tm5 0.187 0.740 0.927
Tm6 0.433 0.259 0.174
Tm7 0.813 0.740 0.553
Tm8 0.085 0.259 0.826
Tm9 0.707 0.037 0.330
Tm10 0.567 0.741 0.826
Tm11 0.707 0.377 0.670
Tm12 0.187 0.260 0.447
Pd1 0.342 0.000 0.342
Pd2 0.500 0.364 0.864
Pd3 0.500 0.636 0.136
Pd4 0.658 0.000 0.658

=====

No. 7
The following is a DFT calculation (PBE) of a relaxed Tm8Pd2Rh crystal.

ΔE to the lowest computed polymorph   92 meV per atom
Theoretical density   9.67 Mg/m³
E_tot   -5.292 eV/atom

a b c (Å): 5.777 7.700 7.700
angles (deg): 116.52 100.84 100.84
Fractional positions:
Tm1 0.378 0.911 0.664
Tm2 0.812 0.643 0.643
Tm3 0.378 0.664 0.911
Tm4 0.170 0.364 0.364
Tm5 0.585 0.339 0.093
Tm6 0.989 0.208 0.795
Tm7 0.585 0.093 0.339
Tm8 0.989 0.795 0.208
Rh1 0.123 0.004 0.004
Pd1 0.495 0.705 0.307
Pd2 0.495 0.307 0.705

=====

No. 8
The following is a DFT calculation (PBE) of a relaxed Tm8PdRh2 crystal.

ΔE to the lowest computed polymorph   0 meV per atom
Theoretical density   10.21 Mg/m³
E_tot   -5.581 eV/atom

a b c (Å): 4.909 6.724 8.899
angles (deg): 105.93 106.01 90.00
Fractional positions:
Tm1 0.330 0.029 0.661
Tm2 0.033 0.782 0.067
Tm3 0.595 0.460 0.189
Tm4 0.405 0.540 0.811
Tm5 0.670 0.971 0.339
Tm6 0.797 0.682 0.595
Tm7 0.967 0.218 0.933
Tm8 0.203 0.318 0.405
Rh1 0.188 0.713 0.376
Rh2 0.812 0.287 0.624
Pd1 0.500 0.000 0.000